one | Below is crystalline Mg5HIr at its relaxed geometry, with properties calculated at the PBE-GGA level.

## Properties
Calculated volume: 126.0 Å³/cell
Space-group type: Cm (8)
Size of the total moment: 0.0 μB/f.u.

Cell and atoms, written as CIF:
```
data_Mg5HIr
_symmetry_space_group_name_H-M 'P 1'
_symmetry_Int_Tables_number 1
_cell_length_a 4.900
_cell_length_b 5.544
_cell_length_c 4.903
_cell_angle_alpha 93.83
_cell_angle_beta 107.80
_cell_angle_gamma 93.81
loop_
_symmetry_equiv_pos_as_xyz
'x,y,z'
loop_
_atom_site_label
_atom_site_type_symbol
_atom_site_fract_x
_atom_site_fract_y
_atom_site_fract_z
Mg1 Mg 0.593 0.895 0.351
Mg2 Mg 0.702 0.349 0.703
Mg3 Mg 0.971 0.896 0.972
Mg4 Mg 0.324 0.349 0.082
Mg5 Mg 0.166 0.632 0.545
Ir1 Ir 0.146 0.129 0.525
H1 H 0.890 0.241 0.270
```

two | Below is crystalline Mg5HIr at its relaxed geometry, with properties calculated at the PBE-GGA level.

## Properties
Calculated volume: 124.4 Å³/cell
Space-group type: P1 (1)
Size of the total moment: 0.0 μB/f.u.

Cell and atoms, written as CIF:
```
data_Mg5HIr
_symmetry_space_group_name_H-M 'P 1'
_symmetry_Int_Tables_number 1
_cell_length_a 5.380
_cell_length_b 5.740
_cell_length_c 4.432
_cell_angle_alpha 90.05
_cell_angle_beta 65.38
_cell_angle_gamma 89.71
loop_
_symmetry_equiv_pos_as_xyz
'x,y,z'
loop_
_atom_site_label
_atom_site_type_symbol
_atom_site_fract_x
_atom_site_fract_y
_atom_site_fract_z
Mg1 Mg 0.206 0.438 0.834
Mg2 Mg 0.806 0.663 0.536
Mg3 Mg 0.063 0.955 0.906
Mg4 Mg 0.613 0.294 0.129
Mg5 Mg 0.397 0.806 0.238
Ir1 Ir 0.017 0.202 0.430
H1 H 0.689 0.133 0.582
```

three | Below is crystalline Mg5HIr at its relaxed geometry, with properties calculated at the PBE-GGA level.

## Properties
Calculated volume: 117.2 Å³/cell
Space-group type: C2 (5)
Size of the total moment: 0.0 μB/f.u.

Cell and atoms, written as CIF:
```
data_Mg5HIr
_symmetry_space_group_name_H-M 'P 1'
_symmetry_Int_Tables_number 1
_cell_length_a 5.334
_cell_length_b 5.334
_cell_length_c 5.377
_cell_angle_alpha 63.18
_cell_angle_beta 63.18
_cell_angle_gamma 65.13
loop_
_symmetry_equiv_pos_as_xyz
'x,y,z'
loop_
_atom_site_label
_atom_site_type_symbol
_atom_site_fract_x
_atom_site_fract_y
_atom_site_fract_z
Mg1 Mg 0.669 0.698 0.037
Mg2 Mg 0.302 0.331 0.963
Mg3 Mg 0.381 0.948 0.563
Mg4 Mg 0.801 0.199 0.500
Mg5 Mg 0.052 0.619 0.437
H1 H 0.415 0.585 0.500
Ir1 Ir 0.870 0.130 0.000
```

Tell me which of them is the most stable. Sure, it is one.

one | Below is crystalline MgH2Ir2 at its relaxed geometry, with properties calculated at the PBE-GGA level.

## Properties
Calculated volume: 104.5 Å³/cell
Space-group type: C2/m (12)
Size of the total moment: 0.0 μB/f.u.

Cell and atoms, written as CIF:
```
data_MgH2Ir2
_symmetry_space_group_name_H-M 'P 1'
_symmetry_Int_Tables_number 1
_cell_length_a 4.067
_cell_length_b 5.920
_cell_length_c 4.954
_cell_angle_alpha 104.72
_cell_angle_beta 65.76
_cell_angle_gamma 90.01
loop_
_symmetry_equiv_pos_as_xyz
'x,y,z'
loop_
_atom_site_label
_atom_site_type_symbol
_atom_site_fract_x
_atom_site_fract_y
_atom_site_fract_z
H1 H 0.091 0.312 0.654
H2 H 0.598 0.311 0.654
H3 H 0.280 0.534 0.288
H4 H 0.774 0.534 0.288
Ir1 Ir 0.866 0.061 0.612
Ir2 Ir 0.186 0.923 0.971
Ir3 Ir 0.506 0.785 0.331
Ir4 Ir 0.186 0.423 0.971
Mg1 Mg 0.552 0.213 0.238
Mg2 Mg 0.819 0.632 0.705
```

two | Below is crystalline MgH2Ir2 at its relaxed geometry, with properties calculated at the PBE-GGA level.

## Properties
Calculated volume: 52.0 Å³/cell
Space-group type: I4/mmm (139)
Size of the total moment: 0.0 μB/f.u.

Cell and atoms, written as CIF:
```
data_MgH2Ir2
_symmetry_space_group_name_H-M 'P 1'
_symmetry_Int_Tables_number 1
_cell_length_a 2.985
_cell_length_b 2.985
_cell_length_c 6.207
_cell_angle_alpha 76.09
_cell_angle_beta 76.09
_cell_angle_gamma 90.00
loop_
_symmetry_equiv_pos_as_xyz
'x,y,z'
loop_
_atom_site_label
_atom_site_type_symbol
_atom_site_fract_x
_atom_site_fract_y
_atom_site_fract_z
Ir1 Ir 0.650 0.650 0.700
Ir2 Ir 0.350 0.350 0.300
H1 H 0.750 0.250 0.500
H2 H 0.250 0.750 0.500
Mg1 Mg 0.000 0.000 0.000
```

three | Below is crystalline MgH2Ir2 at its relaxed geometry, with properties calculated at the PBE-GGA level.

## Properties
Calculated volume: 110.7 Å³/cell
Space-group type: P1 (1)
Size of the total moment: 0.0 μB/f.u.

Cell and atoms, written as CIF:
```
data_MgH2Ir2
_symmetry_space_group_name_H-M 'P 1'
_symmetry_Int_Tables_number 1
_cell_length_a 5.356
_cell_length_b 5.327
_cell_length_c 5.335
_cell_angle_alpha 86.99
_cell_angle_beta 61.16
_cell_angle_gamma 117.47
loop_
_symmetry_equiv_pos_as_xyz
'x,y,z'
loop_
_atom_site_label
_atom_site_type_symbol
_atom_site_fract_x
_atom_site_fract_y
_atom_site_fract_z
H1 H 0.178 0.708 0.607
H2 H 0.394 0.235 0.081
H3 H 0.679 0.502 0.313
H4 H 0.892 0.190 0.626
Ir1 Ir 0.053 0.983 0.641
Ir2 Ir 0.554 0.409 0.713
Ir3 Ir 0.519 0.895 0.628
Ir4 Ir 0.019 0.863 0.161
Mg1 Mg 0.897 0.318 0.012
Mg2 Mg 0.397 0.624 0.205
```

four | Below is crystalline MgH2Ir2 at its relaxed geometry, with properties calculated at the PBE-GGA level.

## Properties
Calculated volume: 106.7 Å³/cell
Space-group type: P4/mbm (127)
Size of the total moment: 0.0 μB/f.u.

Cell and atoms, written as CIF:
```
data_MgH2Ir2
_symmetry_space_group_name_H-M 'P 1'
_symmetry_Int_Tables_number 1
_cell_length_a 5.406
_cell_length_b 5.406
_cell_length_c 3.652
_cell_angle_alpha 90.00
_cell_angle_beta 90.00
_cell_angle_gamma 90.00
loop_
_symmetry_equiv_pos_as_xyz
'x,y,z'
loop_
_atom_site_label
_atom_site_type_symbol
_atom_site_fract_x
_atom_site_fract_y
_atom_site_fract_z
Ir1 Ir 0.674 0.826 0.500
Ir2 Ir 0.826 0.326 0.500
Ir3 Ir 0.326 0.174 0.500
Ir4 Ir 0.174 0.674 0.500
Mg1 Mg 0.500 0.500 0.000
Mg2 Mg 0.000 0.000 0.000
H1 H 0.652 0.848 0.000
H2 H 0.348 0.152 0.000
H3 H 0.152 0.652 0.000
H4 H 0.848 0.348 0.000
```

Tell me which of them is the most stable. Sure, it is one.

one | Below is crystalline MgH2Ir2 at its relaxed geometry, with properties calculated at the PBE-GGA level.

## Properties
Calculated volume: 59.4 Å³/cell
Space-group type: C2 (5)
Size of the total moment: 0.0 μB/f.u.

Cell and atoms, written as CIF:
```
data_MgH2Ir2
_symmetry_space_group_name_H-M 'P 1'
_symmetry_Int_Tables_number 1
_cell_length_a 5.207
_cell_length_b 4.752
_cell_length_c 2.837
_cell_angle_alpha 90.00
_cell_angle_beta 74.11
_cell_angle_gamma 117.14
loop_
_symmetry_equiv_pos_as_xyz
'x,y,z'
loop_
_atom_site_label
_atom_site_type_symbol
_atom_site_fract_x
_atom_site_fract_y
_atom_site_fract_z
Mg1 Mg 0.640 0.900 0.160
Ir1 Ir 0.145 0.027 0.408
Ir2 Ir 0.136 0.523 0.913
H1 H 0.933 0.601 0.515
H2 H 0.347 0.308 0.806
```

two | Below is crystalline MgH2Ir2 at its relaxed geometry, with properties calculated at the PBE-GGA level.

## Properties
Calculated volume: 60.2 Å³/cell
Space-group type: P1 (1)
Size of the total moment: 0.0 μB/f.u.

Cell and atoms, written as CIF:
```
data_MgH2Ir2
_symmetry_space_group_name_H-M 'P 1'
_symmetry_Int_Tables_number 1
_cell_length_a 4.880
_cell_length_b 4.753
_cell_length_c 2.833
_cell_angle_alpha 89.93
_cell_angle_beta 107.00
_cell_angle_gamma 105.93
loop_
_symmetry_equiv_pos_as_xyz
'x,y,z'
loop_
_atom_site_label
_atom_site_type_symbol
_atom_site_fract_x
_atom_site_fract_y
_atom_site_fract_z
Mg1 Mg 0.640 0.871 0.761
H1 H 0.946 0.393 0.411
H2 H 0.335 0.352 0.109
Ir1 Ir 0.142 0.111 0.511
Ir2 Ir 0.139 0.634 0.009
```

Tell me which of them is the most stable. Sure, it is two.

one | Below is crystalline Mg2H3Ir4 at its relaxed geometry, with properties calculated at the PBE-GGA level.

## Properties
Calculated volume: 101.1 Å³/cell
Space-group type: P1 (1)
Size of the total moment: 0.0 μB/f.u.

Cell and atoms, written as CIF:
```
data_Mg2H3Ir4
_symmetry_space_group_name_H-M 'P 1'
_symmetry_Int_Tables_number 1
_cell_length_a 8.077
_cell_length_b 4.919
_cell_length_c 2.891
_cell_angle_alpha 90.06
_cell_angle_beta 69.02
_cell_angle_gamma 108.19
loop_
_symmetry_equiv_pos_as_xyz
'x,y,z'
loop_
_atom_site_label
_atom_site_type_symbol
_atom_site_fract_x
_atom_site_fract_y
_atom_site_fract_z
H1 H 0.818 0.812 0.047
H2 H 0.263 0.741 0.099
H3 H 0.819 0.300 0.043
Ir1 Ir 0.641 0.463 0.222
Ir2 Ir 0.004 0.151 0.859
Ir3 Ir 0.324 0.421 0.039
Ir4 Ir 0.323 0.974 0.538
Mg1 Mg 0.637 0.959 0.725
Mg2 Mg 0.986 0.643 0.376
```

two | Below is crystalline Mg2H3Ir4 at its relaxed geometry, with properties calculated at the PBE-GGA level.

## Properties
Calculated volume: 99.6 Å³/cell
Space-group type: Pm (6)
Size of the total moment: 0.0 μB/f.u.

Cell and atoms, written as CIF:
```
data_Mg2H3Ir4
_symmetry_space_group_name_H-M 'P 1'
_symmetry_Int_Tables_number 1
_cell_length_a 6.997
_cell_length_b 4.890
_cell_length_c 2.952
_cell_angle_alpha 90.00
_cell_angle_beta 90.01
_cell_angle_gamma 99.44
loop_
_symmetry_equiv_pos_as_xyz
'x,y,z'
loop_
_atom_site_label
_atom_site_type_symbol
_atom_site_fract_x
_atom_site_fract_y
_atom_site_fract_z
H1 H 0.408 0.239 0.973
H2 H 0.747 0.301 0.974
H3 H 0.192 0.625 0.473
Mg1 Mg 0.905 0.576 0.475
Mg2 Mg 0.583 0.022 0.474
Ir1 Ir 0.249 0.816 0.974
Ir2 Ir 0.575 0.548 0.974
Ir3 Ir 0.920 0.057 0.974
Ir4 Ir 0.235 0.280 0.474
```

Tell me which of them is the most stable. Sure, it is one.

one | Below is crystalline Mg2H3Ir4 at its relaxed geometry, with properties calculated at the PBE-GGA level.

## Properties
Calculated volume: 103.3 Å³/cell
Space-group type: Pm (6)
Size of the total moment: 0.0 μB/f.u.

Cell and atoms, written as CIF:
```
data_Mg2H3Ir4
_symmetry_space_group_name_H-M 'P 1'
_symmetry_Int_Tables_number 1
_cell_length_a 7.913
_cell_length_b 4.542
_cell_length_c 2.883
_cell_angle_alpha 90.00
_cell_angle_beta 89.99
_cell_angle_gamma 94.61
loop_
_symmetry_equiv_pos_as_xyz
'x,y,z'
loop_
_atom_site_label
_atom_site_type_symbol
_atom_site_fract_x
_atom_site_fract_y
_atom_site_fract_z
Mg1 Mg 0.650 0.416 0.064
Mg2 Mg 0.011 0.498 0.565
H1 H 0.773 0.774 0.565
H2 H 0.083 0.095 0.064
H3 H 0.232 0.506 0.065
Ir1 Ir 0.357 0.385 0.564
Ir2 Ir 0.563 0.910 0.564
Ir3 Ir 0.872 0.979 0.064
Ir4 Ir 0.274 0.901 0.064
```

two | Below is crystalline Mg2H3Ir4 at its relaxed geometry, with properties calculated at the PBE-GGA level.

## Properties
Calculated volume: 97.7 Å³/cell
Space-group type: Pm (6)
Size of the total moment: 0.0 μB/f.u.

Cell and atoms, written as CIF:
```
data_Mg2H3Ir4
_symmetry_space_group_name_H-M 'P 1'
_symmetry_Int_Tables_number 1
_cell_length_a 7.024
_cell_length_b 4.898
_cell_length_c 2.892
_cell_angle_alpha 90.00
_cell_angle_beta 90.00
_cell_angle_gamma 101.01
loop_
_symmetry_equiv_pos_as_xyz
'x,y,z'
loop_
_atom_site_label
_atom_site_type_symbol
_atom_site_fract_x
_atom_site_fract_y
_atom_site_fract_z
Ir1 Ir 0.305 0.862 0.029
Ir2 Ir 0.642 0.612 0.029
Ir3 Ir 0.297 0.332 0.529
Ir4 Ir 0.980 0.097 0.029
H1 H 0.400 0.705 0.529
H2 H 0.810 0.355 0.029
H3 H 0.760 0.783 0.529
Mg1 Mg 0.626 0.115 0.529
Mg2 Mg 0.995 0.603 0.529
```

Tell me which of them is the most stable. Sure, it is two.

one | Below is crystalline Mg2H3Ir4 at its relaxed geometry, with properties calculated at the PBE-GGA level.

## Properties
Calculated volume: 107.0 Å³/cell
Space-group type: Pm (6)
Size of the total moment: 0.0 μB/f.u.

Cell and atoms, written as CIF:
```
data_Mg2H3Ir4
_symmetry_space_group_name_H-M 'P 1'
_symmetry_Int_Tables_number 1
_cell_length_a 8.102
_cell_length_b 4.602
_cell_length_c 2.870
_cell_angle_alpha 90.00
_cell_angle_beta 89.99
_cell_angle_gamma 90.34
loop_
_symmetry_equiv_pos_as_xyz
'x,y,z'
loop_
_atom_site_label
_atom_site_type_symbol
_atom_site_fract_x
_atom_site_fract_y
_atom_site_fract_z
H1 H 0.898 0.719 0.675
H2 H 0.194 0.723 0.675
H3 H 0.050 0.952 0.175
Mg1 Mg 0.041 0.408 0.176
Mg2 Mg 0.627 0.424 0.176
Ir1 Ir 0.559 0.930 0.676
Ir2 Ir 0.836 0.913 0.175
Ir3 Ir 0.331 0.436 0.676
Ir4 Ir 0.279 0.959 0.176
```

two | Below is crystalline Mg2H3Ir4 at its relaxed geometry, with properties calculated at the PBE-GGA level.

## Properties
Calculated volume: 100.2 Å³/cell
Space-group type: Pm (6)
Size of the total moment: 0.0 μB/f.u.

Cell and atoms, written as CIF:
```
data_Mg2H3Ir4
_symmetry_space_group_name_H-M 'P 1'
_symmetry_Int_Tables_number 1
_cell_length_a 7.138
_cell_length_b 4.878
_cell_length_c 2.916
_cell_angle_alpha 90.00
_cell_angle_beta 90.00
_cell_angle_gamma 99.28
loop_
_symmetry_equiv_pos_as_xyz
'x,y,z'
loop_
_atom_site_label
_atom_site_type_symbol
_atom_site_fract_x
_atom_site_fract_y
_atom_site_fract_z
Ir1 Ir 0.565 0.611 0.029
Ir2 Ir 0.200 0.360 0.529
Ir3 Ir 0.900 0.111 0.029
Ir4 Ir 0.213 0.834 0.030
H1 H 0.732 0.356 0.029
H2 H 0.284 0.030 0.530
H3 H 0.458 0.454 0.529
Mg1 Mg 0.567 0.076 0.529
Mg2 Mg 0.894 0.632 0.529
```

three | Below is crystalline Mg2H3Ir4 at its relaxed geometry, with properties calculated at the PBE-GGA level.

## Properties
Calculated volume: 108.1 Å³/cell
Space-group type: P1 (1)
Size of the total moment: 0.0 μB/f.u.

Cell and atoms, written as CIF:
```
data_Mg2H3Ir4
_symmetry_space_group_name_H-M 'P 1'
_symmetry_Int_Tables_number 1
_cell_length_a 8.599
_cell_length_b 4.623
_cell_length_c 2.837
_cell_angle_alpha 90.02
_cell_angle_beta 99.47
_cell_angle_gamma 103.54
loop_
_symmetry_equiv_pos_as_xyz
'x,y,z'
loop_
_atom_site_label
_atom_site_type_symbol
_atom_site_fract_x
_atom_site_fract_y
_atom_site_fract_z
Ir1 Ir 0.339 0.021 0.334
Ir2 Ir 0.364 0.529 0.847
Ir3 Ir 0.622 0.821 0.476
Ir4 Ir 0.897 0.812 0.114
H1 H 0.947 0.620 0.639
H2 H 0.818 0.050 0.575
H3 H 0.110 0.912 0.222
Mg1 Mg 0.630 0.309 0.979
Mg2 Mg 0.089 0.390 0.211
```

Tell me which of them is the most stable. Sure, it is two.